Entry 1:
The following is a DFT calculation (PBE) of crystalline HfBi3Pd at its relaxed geometry.

Cell and atoms, written as extended XYZ:
```
5
Lattice="5.3146 0.0000 0.0000 0.0000 5.3146 0.0000 0.0000 0.0000 5.3146" Properties=species:S:1:pos:R:3 pbc="T T T"
Hf 0.0000 0.0000 0.0000
Bi 0.0000 2.6573 2.6573
Bi 2.6573 0.0000 2.6573
Bi 2.6573 2.6573 0.0000
Pd 2.6573 2.6573 2.6573
```

Output
ΔE to the lowest computed polymorph: 0 meV/atom

Entry 2:
The following is a DFT calculation (PBE) of crystalline HfBi2Pd at its relaxed geometry.

Cell and atoms, written as extended XYZ:
```
4
Lattice="0.0000 3.6026 3.6026 3.6026 0.0000 3.6026 3.6026 3.6026 0.0000" Properties=species:S:1:pos:R:3 pbc="T T T"
Hf 0.0000 0.0000 0.0000
Bi 1.8013 1.8013 1.8013
Bi 5.4038 5.4038 5.4038
Pd 3.6026 3.6026 3.6026
```

Entry 3:
The following is a DFT calculation (PBE) of crystalline HfBiPd2 at its relaxed geometry.

Cell and atoms, written as extended XYZ:
```
4
Lattice="3.5059 0.0000 0.0000 0.0000 3.5059 0.0000 0.0000 0.0000 6.5305" Properties=species:S:1:pos:R:3 pbc="T T T"
Hf 0.0000 0.0000 0.0000
Bi 0.0000 0.0000 3.2653
Pd 1.7529 1.7529 1.3794
Pd 1.7529 1.7529 5.1512
```

Entry 4:
The following is a DFT calculation (PBE) of crystalline Hf2BiPd at its relaxed geometry.

Cell and atoms, written as extended XYZ:
```
4
Lattice="2.1165 1.2219 6.1418 -2.1165 1.2219 6.1418 0.0000 -2.4439 6.1418" Properties=species:S:1:pos:R:3 pbc="T T T"
Hf 0.0000 0.0000 4.2409
Hf 0.0000 0.0000 14.1843
Bi 0.0000 0.0000 0.0000
Pd 0.0000 0.0000 9.2126
```

no.,DFT formation energy (eV per atom)
1,0.559
2,0.017
3,-0.583
4,-0.174